The following is a PBE calculation of an optimized crystal structure of Ta2TiClO, from Alexandria.

Cell lengths 4.7595, 4.7595, 4.5210 Å; angles 90.00, 90.00, 90.00 degrees
Sites, in units of the cell vectors:
Ta (0.0000, 0.5000, 0.0000)
Ta (0.5000, 0.0000, 0.0000)
Ti (0.0000, 0.0000, 0.0000)
Cl (0.0000, 0.0000, 0.5000)
O (0.5000, 0.5000, 0.5000)

Output
formation energy from raw total energies: 1.4912 eV/atom
space group: P4/mmm (123)